[1]
Ba12LiZn6: optimized geometry, PBE.

Cell lengths 10.4494, 10.4494, 10.4494 Å; angles 108.92, 108.92, 108.92 degrees
Atoms (fractional coordinates):
Ba: 0.8494 0.6134 0.5564
Ba: 0.5564 0.8494 0.6134
Ba: 0.6134 0.5564 0.8494
Ba: 0.1506 0.3866 0.4436
Ba: 0.4436 0.1506 0.3866
Ba: 0.3866 0.4436 0.1506
Ba: 0.0224 0.8441 0.3263
Ba: 0.1559 0.6737 0.9776
Ba: 0.6737 0.9776 0.1559
Ba: 0.9776 0.1559 0.6737
Ba: 0.8441 0.3263 0.0224
Ba: 0.3263 0.0224 0.8441
Li: 0.0000 0.0000 0.0000
Zn: 0.7041 0.7879 0.3605
Zn: 0.6395 0.2959 0.2121
Zn: 0.2121 0.6395 0.2959
Zn: 0.2959 0.2121 0.6395
Zn: 0.3605 0.7041 0.7879
Zn: 0.7879 0.3605 0.7041

Calculated values
crystal system	trigonal
calculated total energy	-32.7	eV for the cell shown

[2]
Ba2LiZn: optimized geometry, PBE.

Cell lengths 10.7575, 10.7575, 10.7575 Å; angles 23.54, 23.54, 23.54 degrees
Atoms (fractional coordinates):
Ba: 0.0104 0.0104 0.0104
Ba: 0.4896 0.4896 0.4896
Li: 0.2500 0.2500 0.2500
Zn: 0.7500 0.7500 0.7500

Calculated values
crystal system	trigonal
calculated total energy	-6.7	eV for the cell shown

[3]
Ba2LiZn2: optimized geometry, PBE.

Cell lengths 8.7837, 8.7837, 4.5291 Å; angles 90.00, 90.00, 90.00 degrees
Atoms (fractional coordinates):
Zn: 0.3924 0.8924 0.0000
Zn: 0.8924 0.6076 0.0000
Zn: 0.6076 0.1076 0.0000
Zn: 0.1076 0.3924 0.0000
Ba: 0.1857 0.6857 0.5000
Ba: 0.6857 0.8143 0.5000
Ba: 0.8143 0.3143 0.5000
Ba: 0.3143 0.1857 0.5000
Li: 0.0000 0.0000 0.0000
Li: 0.5000 0.5000 0.0000

Calculated values
E above lowest polymorph	2.6	kJ per mole of atoms
crystal system	tetragonal

[4]
Ba2LiZn2: optimized geometry, PBE.

Cell lengths 4.5560, 4.5560, 10.3404 Å; angles 77.27, 77.27, 60.00 degrees
Atoms (fractional coordinates):
Ba: 0.4281 0.4281 0.7156
Ba: 0.5719 0.5719 0.2844
Li: 0.0000 0.0000 0.0000
Zn: 0.6820 0.6820 0.9541
Zn: 0.3180 0.3180 0.0459

Calculated values
E above lowest polymorph	0.0	kJ per mole of atoms
crystal system	trigonal

[5]
Ba2LiZn: optimized geometry, PBE.

Cell lengths 5.9562, 5.9562, 4.2313 Å; angles 90.02, 90.02, 90.07 degrees
Atoms (fractional coordinates):
Zn: 0.0000 0.5000 0.5000
Ba: 0.0000 0.0000 0.0000
Ba: 0.5000 0.5000 0.0000
Li: 0.5000 0.0000 0.5000

Calculated values
crystal system	orthorhombic
calculated total energy	-7.3	eV for the cell shown

[6]
Ba6Li15Zn8: optimized geometry, PBE.

Cell lengths 10.3347, 10.3347, 10.3347 Å; angles 60.00, 60.00, 60.00 degrees
Atoms (fractional coordinates):
Ba: 0.7344 0.7344 0.2656
Ba: 0.2656 0.2656 0.7344
Ba: 0.7344 0.2656 0.2656
Ba: 0.2656 0.7344 0.7344
Ba: 0.7344 0.2656 0.7344
Ba: 0.2656 0.7344 0.2656
Li: 0.0375 0.3208 0.3208
Li: 0.9625 0.6792 0.6792
Li: 0.3208 0.3208 0.0375
Li: 0.3208 0.3208 0.3208
Li: 0.6792 0.6792 0.9625
Li: 0.6792 0.6792 0.6792
Li: 0.3208 0.0375 0.3208
Li: 0.6792 0.9625 0.6792
Li: 0.5000 0.5000 0.0000
Li: 0.0000 0.0000 0.5000
Li: 0.5000 0.0000 0.0000
Li: 0.0000 0.5000 0.5000
Li: 0.5000 0.0000 0.5000
Li: 0.0000 0.5000 0.0000
Li: 0.0000 0.0000 0.0000
Zn: 0.5838 0.1387 0.1387
Zn: 0.4162 0.8613 0.8613
Zn: 0.1387 0.1387 0.5838
Zn: 0.1387 0.1387 0.1387
Zn: 0.8613 0.8613 0.4162
Zn: 0.8613 0.8613 0.8613
Zn: 0.1387 0.5838 0.1387
Zn: 0.8613 0.4162 0.8613

Calculated values
crystal system	cubic
calculated total energy	-52.5	eV for the cell shown

[7]
Ba6LiZn: optimized geometry, PBE.

Cell lengths 6.0745, 6.0746, 11.7400 Å; angles 75.01, 75.00, 90.00 degrees
Atoms (fractional coordinates):
Ba: 0.7485 0.7485 0.5030
Ba: 0.5914 0.0915 0.8171
Ba: 0.0915 0.5915 0.8171
Ba: 0.4086 0.9085 0.1829
Ba: 0.2515 0.2515 0.4970
Ba: 0.9085 0.4085 0.1829
Li: 0.5000 0.5000 0.0000
Zn: 0.0000 0.0000 0.0000

Calculated values
crystal system	tetragonal
calculated total energy	-14.9	eV for the cell shown

[8]
Ba3LiZn2: optimized geometry, PBE.

Cell lengths 4.1726, 4.1726, 12.7928 Å; angles 90.00, 90.00, 90.00 degrees
Atoms (fractional coordinates):
Ba: 0.0000 0.0000 0.0000
Ba: 0.0000 0.0000 0.6873
Ba: 0.0000 0.0000 0.3127
Li: 0.5000 0.5000 0.5000
Zn: 0.5000 0.5000 0.8342
Zn: 0.5000 0.5000 0.1658

Calculated values
crystal system	tetragonal
calculated total energy	-10.8	eV for the cell shown

[9]
Ba2LiZn2: optimized geometry, PBE.

Cell lengths 9.5269, 9.5269, 3.9471 Å; angles 90.00, 90.00, 90.00 degrees
Atoms (fractional coordinates):
Zn: 0.1363 0.6363 0.5000
Zn: 0.6363 0.8637 0.5000
Zn: 0.8637 0.3637 0.5000
Zn: 0.3637 0.1363 0.5000
Ba: 0.3468 0.8468 0.0000
Ba: 0.8468 0.6532 0.0000
Ba: 0.6532 0.1532 0.0000
Ba: 0.1532 0.3468 0.0000
Li: 0.0000 0.0000 0.0000
Li: 0.5000 0.5000 0.0000

Calculated values
E above lowest polymorph	16.6	kJ per mole of atoms
crystal system	tetragonal

[10]
Ba4LiZn: optimized geometry, PBE.

Cell lengths 7.6370, 7.6370, 7.6370 Å; angles 60.00, 60.00, 60.00 degrees
Atoms (fractional coordinates):
Ba: 0.8763 0.3746 0.3746
Ba: 0.3746 0.3746 0.8763
Ba: 0.3746 0.8763 0.3746
Ba: 0.3746 0.3746 0.3746
Li: 0.7500 0.7500 0.7500
Zn: 0.0000 0.0000 0.0000

Calculated values
E above lowest polymorph	51.2	kJ per mole of atoms
crystal system	cubic

[11]
Ba3LiZn: optimized geometry, PBE.

Cell lengths 6.5081, 6.5081, 6.5081 Å; angles 90.00, 90.00, 90.00 degrees
Atoms (fractional coordinates):
Zn: 0.0000 0.0000 0.0000
Ba: 0.0000 0.5000 0.0000
Ba: 0.0000 0.0000 0.5000
Ba: 0.5000 0.0000 0.0000
Li: 0.5000 0.5000 0.5000

Calculated values
E above lowest polymorph	9.9	kJ per mole of atoms
crystal system	cubic

[12]
Ba2LiZn: optimized geometry, PBE.

Cell lengths 9.3174, 9.3174, 7.6585 Å; angles 52.53, 52.53, 90.00 degrees
Atoms (fractional coordinates):
Zn: 0.0000 0.0000 0.0000
Zn: 0.7500 0.2500 0.5000
Ba: 0.6494 0.1250 0.2500
Ba: 0.1006 0.6250 0.2500
Ba: 0.3750 0.3506 0.7500
Ba: 0.8750 0.8994 0.7500
Li: 0.5000 0.5000 0.0000
Li: 0.2500 0.7500 0.5000

Calculated values
crystal system	tetragonal
calculated total energy	-12.8	eV for the cell shown

Copy entry 11 word for word.
Ba3LiZn: optimized geometry, PBE.

Cell lengths 6.5081, 6.5081, 6.5081 Å; angles 90.00, 90.00, 90.00 degrees
Atoms (fractional coordinates):
Zn: 0.0000 0.0000 0.0000
Ba: 0.0000 0.5000 0.0000
Ba: 0.0000 0.0000 0.5000
Ba: 0.5000 0.0000 0.0000
Li: 0.5000 0.5000 0.5000

Calculated values
E above lowest polymorph	9.9	kJ per mole of atoms
crystal system	cubic